# 1
# HfMnO3

HfMnO3 at its PBEsol-relaxed geometry (meta-GGA SCAN, the Alexandria database).

Values from the calculation:
* formation energy without anion corrections: -15.30 eV/f.u.
* magnetization: 5.00 μB/f.u.
* DFT total energy: -0.8447 hartree per atom

Unit cell a=5.5021 b=7.8048 c=5.3284 alpha=90.00 beta=90.00 gamma=90.00
Space group Pnma (No. 62)
Asymmetric unit:
1 Hf 0.0000 0.0000 0.0000
2 Mn 0.0405 0.2500 0.4961
3 O 0.0678 0.7500 0.1257
4 O 0.1795 0.5676 0.6743

---

# 2
# HfMnO2

HfMnO2 at its PBEsol-relaxed geometry (meta-GGA SCAN, the Alexandria database).

Values from the calculation:
* formation energy without anion corrections: -8.87 eV/f.u.
* magnetization: 3.30 μB/f.u.
* DFT total energy: -0.9395 hartree per atom

Unit cell a=4.7000 b=4.7000 c=9.7998 alpha=90.00 beta=90.00 gamma=90.00
Space group I-42d (No. 122)
Asymmetric unit:
1 Hf 0.0000 0.0000 0.0000
2 Mn 0.0000 0.0000 0.5000
3 O 0.2345 0.2500 0.1250

---

# 3
# Hf2MnOs

Hf2MnOs at its PBEsol-relaxed geometry (meta-GGA SCAN, the Alexandria database).

Values from the calculation:
* magnetization: 0.32 μB/f.u.
* DFT total energy: -2.0009 hartree per atom
* energy of formation from the pure elements: -576.5 meV/atom

Unit cell a=6.3501 b=6.3501 c=6.3501 alpha=90.00 beta=90.00 gamma=90.00
Space group Fm-3m (No. 225)
Asymmetric unit:
1 Hf 0.2500 0.2500 0.2500
2 Mn 0.0000 0.0000 0.0000
3 Os 0.0000 0.0000 0.5000

---

# 4
# HfMn3P

HfMn3P at its PBEsol-relaxed geometry (meta-GGA SCAN, the Alexandria database).

Values from the calculation:
* magnetization: 4.07 μB/f.u.
* DFT total energy: -0.9407 hartree per atom
* energy of formation from the pure elements: -29.4 meV/atom
* energy above the lowest structure with this stoichiometry: 0 meV/atom

Unit cell a=4.0985 b=4.0985 c=4.0985 alpha=90.00 beta=90.00 gamma=90.00
Space group Pm-3m (No. 221)
Asymmetric unit:
1 Hf 0.0000 0.0000 0.0000
2 Mn 0.0000 0.5000 0.5000
3 P 0.5000 0.5000 0.5000

---

# 5
# Hf3MnP

Hf3MnP at its PBEsol-relaxed geometry (meta-GGA SCAN, the Alexandria database).

Values from the calculation:
* magnetization: 0.00 μB/f.u.
* DFT total energy: -1.5798 hartree per atom
* energy of formation from the pure elements: 346.8 meV/atom

Unit cell a=4.6332 b=4.6332 c=4.6332 alpha=90.00 beta=90.00 gamma=90.00
Space group Pm-3m (No. 221)
Asymmetric unit:
1 Hf 0.0000 0.0000 0.5000
2 Mn 0.0000 0.0000 0.0000
3 P 0.5000 0.5000 0.5000

---

# 6
# HfMn3P

HfMn3P at its PBEsol-relaxed geometry (meta-GGA SCAN, the Alexandria database).

Values from the calculation:
* magnetization: 9.83 μB/f.u.
* DFT total energy: -0.8906 hartree per atom
* energy of formation from the pure elements: 1333.5 meV/atom
* energy above the lowest structure with this stoichiometry: 1363 meV/atom

Unit cell a=4.6196 b=4.6196 c=4.6196 alpha=90.00 beta=90.00 gamma=90.00
Space group Pm-3m (No. 221)
Asymmetric unit:
1 Hf 0.0000 0.0000 0.0000
2 Mn 0.0000 0.0000 0.5000
3 P 0.5000 0.5000 0.5000

---

# 7
# HfMnP

HfMnP at its PBEsol-relaxed geometry (meta-GGA SCAN, the Alexandria database).

Values from the calculation:
* magnetization: 2.03 μB/f.u.
* DFT total energy: -1.1598 hartree per atom
* energy of formation from the pure elements: -1117.1 meV/atom

Unit cell a=6.3031 b=3.5672 c=7.3401 alpha=90.00 beta=90.00 gamma=90.00
Space group Pnma (No. 62)
Asymmetric unit:
1 Hf 0.0302 0.2500 0.1751
2 Mn 0.1372 0.2500 0.5602
3 P 0.2311 0.7500 0.3723

---

# 8
# HfMnPS2

HfMnPS2 at its PBEsol-relaxed geometry (meta-GGA SCAN, the Alexandria database).

Values from the calculation:
* formation energy without anion corrections: -0.43 eV/f.u.
* magnetization: 3.28 μB/f.u.
* DFT total energy: -0.8159 hartree per atom

Unit cell a=4.3327 b=4.3327 c=4.4965 alpha=90.00 beta=90.00 gamma=90.00
Space group P4/mmm (No. 123)
Asymmetric unit:
1 Hf 0.0000 0.0000 0.0000
2 Mn 0.5000 0.5000 0.5000
3 P 0.5000 0.5000 0.0000
4 S 0.0000 0.5000 0.5000

---

# 9
# Hf3MnPb

Hf3MnPb at its PBEsol-relaxed geometry (meta-GGA SCAN, the Alexandria database).

Values from the calculation:
* magnetization: 3.87 μB/f.u.
* DFT total energy: -2.0238 hartree per atom
* energy of formation from the pure elements: 1340.7 meV/atom

Unit cell a=5.2351 b=5.2351 c=5.2351 alpha=90.00 beta=90.00 gamma=90.00
Space group Pm-3m (No. 221)
Asymmetric unit:
1 Hf 0.0000 0.0000 0.5000
2 Mn 0.5000 0.5000 0.5000
3 Pb 0.0000 0.0000 0.0000

---

# 10
# HfMnSn2Pb

HfMnSn2Pb at its PBEsol-relaxed geometry (meta-GGA SCAN, the Alexandria database).

Values from the calculation:
* magnetization: 3.07 μB/f.u.
* DFT total energy: -1.6346 hartree per atom
* energy of formation from the pure elements: 1230.7 meV/atom

Unit cell a=5.5236 b=5.5236 c=4.8577 alpha=90.00 beta=90.00 gamma=90.00
Space group P4/mmm (No. 123)
Asymmetric unit:
1 Hf 0.0000 0.0000 0.0000
2 Mn 0.5000 0.5000 0.0000
3 Sn 0.0000 0.5000 0.5000
4 Pb 0.5000 0.5000 0.5000

---

# 11
# HfMnPd3

HfMnPd3 at its PBEsol-relaxed geometry (meta-GGA SCAN, the Alexandria database).

Values from the calculation:
* magnetization: 4.64 μB/f.u.
* DFT total energy: -1.2986 hartree per atom
* energy of formation from the pure elements: 512.4 meV/atom

Unit cell a=4.7667 b=4.7667 c=4.7667 alpha=90.00 beta=90.00 gamma=90.00
Space group Pm-3m (No. 221)
Asymmetric unit:
1 Hf 0.0000 0.0000 0.0000
2 Mn 0.5000 0.5000 0.5000
3 Pd 0.0000 0.0000 0.5000

---

# 12
# HfMn3Pd

HfMn3Pd at its PBEsol-relaxed geometry (meta-GGA SCAN, the Alexandria database).

Values from the calculation:
* magnetization: 11.63 μB/f.u.
* DFT total energy: -1.0831 hartree per atom
* energy of formation from the pure elements: 571.3 meV/atom

Unit cell a=4.6138 b=4.6138 c=4.6138 alpha=90.00 beta=90.00 gamma=90.00
Space group Pm-3m (No. 221)
Asymmetric unit:
1 Hf 0.0000 0.0000 0.0000
2 Mn 0.0000 0.5000 0.5000
3 Pd 0.5000 0.5000 0.5000

---

no.,Fermi-level density of states (states/eV/f.u.)
1,0.00
2,1.08
3,2.69
4,2.83
5,6.06
6,2.44
7,0.59
8,1.83
9,4.01
10,4.39
11,2.25
12,4.54